1.
Tm3Ga5: single point on PBEsol structure, SCAN.

abc: 5.9121 9.4460 11.1858
angles: 90.00 90.00 90.00
With the nearest neighbours (Å) after each atom.
Fractional coordinates of all 32 atoms:
Ga 0.1696 0.7500 0.7477  4 Ga 2.64-2.84, 1 Tm 2.78
Ga 0.3930 0.2500 0.2989  3 Ga 2.62-2.64, 3 Tm 2.90
Ga 0.3304 0.7500 0.2477  4 Ga 2.64-2.84, 1 Tm 2.78
Ga 0.8304 0.2500 0.2523  4 Ga 2.64-2.84, 1 Tm 2.78
Ga 0.8930 0.7500 0.2011  3 Ga 2.62-2.64, 3 Tm 2.90
Ga 0.1244 0.5519 0.0912  4 Ga 2.61-2.84, 1 Tm 2.86
Ga 0.8756 0.4481 0.9088  4 Ga 2.61-2.84, 1 Tm 2.86
Ga 0.6070 0.7500 0.7011  3 Ga 2.62-2.64, 3 Tm 2.90
Ga 0.3714 0.7500 0.9944  3 Ga 2.61-2.84, 3 Tm 2.91
Ga 0.6244 0.0519 0.4088  4 Ga 2.61-2.84, 1 Tm 2.86
Ga 0.6286 0.2500 0.0056  3 Ga 2.61-2.84, 3 Tm 2.91
Ga 0.1286 0.7500 0.4944  3 Ga 2.61-2.84, 3 Tm 2.91
Ga 0.8714 0.2500 0.5056  3 Ga 2.61-2.84, 3 Tm 2.91
Ga 0.3756 0.5519 0.5912  4 Ga 2.61-2.84, 1 Tm 2.86
Ga 0.1244 0.9481 0.0912  4 Ga 2.61-2.84, 1 Tm 2.86
Ga 0.6244 0.4481 0.4088  4 Ga 2.61-2.84, 1 Tm 2.86
Ga 0.6696 0.2500 0.7523  4 Ga 2.64-2.84, 1 Tm 2.78
Ga 0.8756 0.0519 0.9088  4 Ga 2.61-2.84, 1 Tm 2.86
Ga 0.1070 0.2500 0.7989  3 Ga 2.62-2.64, 3 Tm 2.90
Ga 0.3756 0.9481 0.5912  4 Ga 2.61-2.84, 1 Tm 2.86
Tm 0.8907 0.5080 0.6477  10 Ga 2.90-3.23
Tm 0.1093 0.4920 0.3523  10 Ga 2.90-3.23
Tm 0.6093 0.9920 0.1477  10 Ga 2.90-3.23
Tm 0.8907 0.9920 0.6477  10 Ga 2.90-3.23
Tm 0.8464 0.7500 0.9277  8 Ga 2.78-3.09
Tm 0.1536 0.2500 0.0723  8 Ga 2.78-3.09
Tm 0.3464 0.2500 0.5723  8 Ga 2.78-3.09
Tm 0.6093 0.5080 0.1477  10 Ga 2.90-3.23
Tm 0.3907 0.4920 0.8523  10 Ga 2.90-3.23
Tm 0.3907 0.0080 0.8523  10 Ga 2.90-3.23
Tm 0.6536 0.7500 0.4277  8 Ga 2.78-3.09
Tm 0.1093 0.0080 0.3523  10 Ga 2.90-3.23

Values from the calculation:
Energy relative to the elements ... -739 meV per atom
E ... -972.57 eV per cell
Space-group type ... Pnma (62)
Magnetization ... 0.0 μB per cell

***

2.
HgI3N: single point on PBEsol structure, SCAN.

abc: 5.7862 5.7862 5.7862
angles: 90.00 90.00 90.00
With the nearest neighbours (Å) after each atom.
Fractional coordinates of all 5 atoms:
N 0.5000 0.5000 0.5000  12 I 4.09
I 0.5000 0.0000 0.0000  2 Hg 2.89
I 0.0000 0.5000 0.0000  2 Hg 2.89
I 0.0000 0.0000 0.5000  2 Hg 2.89
Hg 0.0000 0.0000 0.0000  6 I 2.89

Values from the calculation:
E ... -182.63 eV per cell
Space-group type ... Pm-3m (221)
Magnetization ... 3.0 μB per cell
Formation energy without anion corrections ... 1.0110 eV per atom

***

3.
MnHgW: single point on PBEsol structure, SCAN.

abc: 2.9381 2.9381 5.7449
angles: 104.82 104.82 90.00
With the nearest neighbours (Å) after each atom.
Fractional coordinates of all 3 atoms:
Mn 0.6851 0.6851 0.3701  4 W 2.45
Hg 0.0084 0.0084 0.0168  4 Mn 2.81, 4 Hg 2.94, 4 W 3.00
W 0.3066 0.3066 0.6131  4 Mn 2.45

Values from the calculation:
Energy relative to the elements ... 509 meV per atom
Polymorph energy (0 for the lowest one) ... 0.010 eV/atom
E ... -154.58 eV per cell
Space-group type ... I4mm (107)
Magnetization ... 1.4 μB per cell

***

> Among the records above, which one has the lowest magnetization?

Tm3Ga5

***

What did the third record say?
MnHgW: single point on PBEsol structure, SCAN.

abc: 2.9381 2.9381 5.7449
angles: 104.82 104.82 90.00
With the nearest neighbours (Å) after each atom.
Fractional coordinates of all 3 atoms:
Mn 0.6851 0.6851 0.3701  4 W 2.45
Hg 0.0084 0.0084 0.0168  4 Mn 2.81, 4 Hg 2.94, 4 W 3.00
W 0.3066 0.3066 0.6131  4 Mn 2.45

Values from the calculation:
Energy relative to the elements ... 509 meV per atom
Polymorph energy (0 for the lowest one) ... 0.010 eV/atom
E ... -154.58 eV per cell
Space-group type ... I4mm (107)
Magnetization ... 1.4 μB per cell

***

What did the first record say?
Tm3Ga5: single point on PBEsol structure, SCAN.

abc: 5.9121 9.4460 11.1858
angles: 90.00 90.00 90.00
With the nearest neighbours (Å) after each atom.
Fractional coordinates of all 32 atoms:
Ga 0.1696 0.7500 0.7477  4 Ga 2.64-2.84, 1 Tm 2.78
Ga 0.3930 0.2500 0.2989  3 Ga 2.62-2.64, 3 Tm 2.90
Ga 0.3304 0.7500 0.2477  4 Ga 2.64-2.84, 1 Tm 2.78
Ga 0.8304 0.2500 0.2523  4 Ga 2.64-2.84, 1 Tm 2.78
Ga 0.8930 0.7500 0.2011  3 Ga 2.62-2.64, 3 Tm 2.90
Ga 0.1244 0.5519 0.0912  4 Ga 2.61-2.84, 1 Tm 2.86
Ga 0.8756 0.4481 0.9088  4 Ga 2.61-2.84, 1 Tm 2.86
Ga 0.6070 0.7500 0.7011  3 Ga 2.62-2.64, 3 Tm 2.90
Ga 0.3714 0.7500 0.9944  3 Ga 2.61-2.84, 3 Tm 2.91
Ga 0.6244 0.0519 0.4088  4 Ga 2.61-2.84, 1 Tm 2.86
Ga 0.6286 0.2500 0.0056  3 Ga 2.61-2.84, 3 Tm 2.91
Ga 0.1286 0.7500 0.4944  3 Ga 2.61-2.84, 3 Tm 2.91
Ga 0.8714 0.2500 0.5056  3 Ga 2.61-2.84, 3 Tm 2.91
Ga 0.3756 0.5519 0.5912  4 Ga 2.61-2.84, 1 Tm 2.86
Ga 0.1244 0.9481 0.0912  4 Ga 2.61-2.84, 1 Tm 2.86
Ga 0.6244 0.4481 0.4088  4 Ga 2.61-2.84, 1 Tm 2.86
Ga 0.6696 0.2500 0.7523  4 Ga 2.64-2.84, 1 Tm 2.78
Ga 0.8756 0.0519 0.9088  4 Ga 2.61-2.84, 1 Tm 2.86
Ga 0.1070 0.2500 0.7989  3 Ga 2.62-2.64, 3 Tm 2.90
Ga 0.3756 0.9481 0.5912  4 Ga 2.61-2.84, 1 Tm 2.86
Tm 0.8907 0.5080 0.6477  10 Ga 2.90-3.23
Tm 0.1093 0.4920 0.3523  10 Ga 2.90-3.23
Tm 0.6093 0.9920 0.1477  10 Ga 2.90-3.23
Tm 0.8907 0.9920 0.6477  10 Ga 2.90-3.23
Tm 0.8464 0.7500 0.9277  8 Ga 2.78-3.09
Tm 0.1536 0.2500 0.0723  8 Ga 2.78-3.09
Tm 0.3464 0.2500 0.5723  8 Ga 2.78-3.09
Tm 0.6093 0.5080 0.1477  10 Ga 2.90-3.23
Tm 0.3907 0.4920 0.8523  10 Ga 2.90-3.23
Tm 0.3907 0.0080 0.8523  10 Ga 2.90-3.23
Tm 0.6536 0.7500 0.4277  8 Ga 2.78-3.09
Tm 0.1093 0.0080 0.3523  10 Ga 2.90-3.23

Values from the calculation:
Energy relative to the elements ... -739 meV per atom
E ... -972.57 eV per cell
Space-group type ... Pnma (62)
Magnetization ... 0.0 μB per cell